# MnBeTl2F6

An optimized crystal structure of MnBeTl2F6 (PBE with a Hubbard U, the Alexandria database).

Summary:
* E: -5.08 eV per atom
* total moment: 10.0 μB/cell
* Fermi-level density of states: 0.00 states/eV/f.u.

a = 5.5578 Å, b = 5.5578 Å, c = 9.4999 Å
α = 90.00°, β = 90.00°, γ = 90.00°
With the nearest neighbours (Å) after each atom.
Space group I4/mmm (No. 139)
Inequivalent atoms, fractional coordinates:
Mn 0.0000 0.0000 0.0000 x2  6 F 2.07-2.25
Be 0.0000 0.0000 0.5000 x2  4 F 1.68
Tl 0.0000 0.5000 0.2500 x4  12 F 2.80-3.10
F 0.0000 0.0000 0.2182 x4  1 Mn 2.07
F 0.2140 0.2140 0.5000 x8  1 Be 1.68